Computed, not measured: a relaxed KCa2Be crystal at the PBE level of DFT.

It has space group P2/m (No. 10), with a = 3.663 Å, b = 3.667 Å, c = 10.661 Å, α = 90.00°, β = 90.13° and γ = 90.00°. Symmetry generates all atoms from K at (0.000, 0.000, 0.000), Ca at (0.498, 0.500, 0.342) and Be at (0.000, 0.000, 0.500).

The calculated density comes out at 1.5 g/cm3. For the total energy, the calculation gives -1.92 eV per atom. The magnetization comes out at 0.000 μB/cell. As for the calculated formation energy: 0.285 eV per atom.